This record from Alexandria via LeMat-Bulk describes a geometry-optimized Ba2SnBiSb structure. The functional is PBE. Values from VASP.

Results
The total moment is 0.00 μB per atom. The calculation puts the uncorrected formation energy at -0.743 eV per atom.

Geometry as Quantum ESPRESSO input:
```
&SYSTEM
  ibrav = 0, nat = 10, ntyp = 4
/
ATOMIC_SPECIES
Sb 121.76 Sb.upf
Ba 137.33 Ba.upf
Sn 118.71 Sn.upf
Bi 208.98 Bi.upf
CELL_PARAMETERS angstrom
-3.788 0.788 3.078
2.924 -4.803 4.829
5.246 7.707 4.483
ATOMIC_POSITIONS crystal
Sb 0.750 0.049 0.250
Sb 0.250 0.951 0.750
Ba 0.250 0.249 0.032
Ba 0.250 0.248 0.467
Ba 0.750 0.752 0.533
Ba 0.750 0.751 0.968
Sn 0.250 0.547 0.750
Sn 0.750 0.453 0.250
Bi 0.750 0.282 0.750
Bi 0.250 0.718 0.250
```